Li2Sm2Tl | Alexandria | PBE | optimized geometry; total DFT energy (no corrections) = -3.23 eV/atom; formation energy = -0.103 eV/atom; energy relative to the lowest polymorph listed for this composition = 10.1 meV per atom; space group = C2/m, No. 12
1.0
-3.211 0.894 -3.944
-5.981 -0.392 1.401
0.455 9.332 -1.635
Li Sm Tl
4 4 2
Direct
0.069 0.287 0.575 Li
0.656 0.823 0.866 Li
0.931 0.713 0.425 Li
0.344 0.177 0.134 Li
0.695 0.270 0.341 Sm
0.894 0.274 0.938 Sm
0.305 0.730 0.659 Sm
0.106 0.726 0.062 Sm
0.557 0.179 0.706 Tl
0.443 0.821 0.294 Tl



Li4SmTl4 | Alexandria | PBE | optimized geometry; total DFT energy (no corrections) = -2.60 eV/atom; formation energy = -0.170 eV/atom; space group = P4_2/nmc, No. 137
1.0
-3.149 5.642 0.046
-0.924 -0.567 6.370
8.516 4.740 1.657
Li Sm Tl
8 2 8
Direct
0.217 0.500 0.926 Li
0.783 0.500 0.926 Li
0.500 0.783 0.074 Li
0.500 0.217 0.074 Li
0.000 0.717 0.426 Li
0.000 0.283 0.426 Li
0.283 0.000 0.574 Li
0.717 0.000 0.574 Li
0.000 0.000 0.000 Sm
0.500 0.500 0.500 Sm
0.500 0.764 0.786 Tl
0.500 0.236 0.786 Tl
0.764 0.500 0.214 Tl
0.236 0.500 0.214 Tl
0.264 0.000 0.286 Tl
0.736 0.000 0.286 Tl
0.000 0.264 0.714 Tl
0.000 0.736 0.714 Tl



Li2Sm2Tl | Alexandria | PBE | optimized geometry; total DFT energy (no corrections) = -3.24 eV/atom; formation energy = -0.114 eV/atom; energy relative to the lowest polymorph listed for this composition = 0.0 meV per atom; space group = C2/c, No. 15
1.0
6.407 0.000 1.935
2.876 5.283 2.050
1.015 1.037 8.211
Li Sm Tl
4 4 2
Direct
0.202 0.299 0.558 Li
0.059 0.201 0.942 Li
0.798 0.701 0.442 Li
0.941 0.799 0.058 Li
0.614 0.767 0.846 Sm
0.773 0.267 0.346 Sm
0.386 0.233 0.154 Sm
0.227 0.733 0.654 Sm
0.249 0.750 0.250 Tl
0.751 0.250 0.750 Tl



Li2SmTl | Alexandria | PBE | optimized geometry; total DFT energy (no corrections) = -2.98 eV/atom; formation energy = -0.247 eV/atom; energy relative to the lowest polymorph listed for this composition = 0.0 meV per atom; space group = Fm-3m, No. 225
1.0
4.912 0.000 0.000
2.456 4.254 0.000
2.456 1.418 4.011
Tl Sm Li
1 1 2
Direct
0.000 0.000 0.000 Tl
0.500 0.500 0.500 Sm
0.250 0.250 0.250 Li
0.750 0.750 0.750 Li



Li2Sm3Tl3 | Alexandria | PBE | optimized geometry; total DFT energy (no corrections) = -3.41 eV/atom; formation energy = -0.273 eV/atom; energy relative to the lowest polymorph listed for this composition = 6.5 meV per atom; space group = P6_3/mcm, No. 193
1.0
5.847 0.000 0.000
0.000 7.972 -4.603
0.000 0.000 9.205
Li Sm Tl
4 6 6
Direct
0.000 0.333 0.667 Li
0.500 0.667 0.333 Li
0.000 0.667 0.333 Li
0.500 0.333 0.667 Li
0.750 0.244 0.000 Sm
0.750 0.756 0.756 Sm
0.750 0.000 0.244 Sm
0.250 0.756 0.000 Sm
0.250 0.244 0.244 Sm
0.250 0.000 0.756 Sm
0.750 0.593 0.000 Tl
0.750 0.407 0.407 Tl
0.750 0.000 0.593 Tl
0.250 0.407 0.000 Tl
0.250 0.593 0.593 Tl
0.250 0.000 0.407 Tl



LiSm2Tl3 | Alexandria | PBE | optimized geometry; total DFT energy (no corrections) = -3.28 eV/atom; formation energy = -0.201 eV/atom; energy relative to the lowest polymorph listed for this composition = 136.7 meV per atom; space group = Cmcm, No. 63
1.0
3.480 0.000 0.000
0.000 6.679 0.000
-1.740 0.000 14.384
Li Sm Tl
2 4 6
Direct
0.342 0.750 0.684 Li
0.658 0.250 0.316 Li
0.163 0.750 0.327 Sm
0.837 0.250 0.673 Sm
0.995 0.750 0.991 Sm
0.005 0.250 0.009 Sm
0.418 0.490 0.836 Tl
0.582 0.510 0.164 Tl
0.418 0.010 0.836 Tl
0.582 0.990 0.164 Tl
0.763 0.750 0.527 Tl
0.237 0.250 0.473 Tl



LiSm4Tl2 | Alexandria | PBE | optimized geometry; total DFT energy (no corrections) = -3.80 eV/atom; formation energy = -0.155 eV/atom; energy relative to the lowest polymorph listed for this composition = 0.0 meV per atom; space group = R-3m, No. 166
1.0
5.134 0.000 1.604
2.316 4.581 1.604
0.021 0.013 8.950
Li Sm Tl
1 4 2
Direct
0.000 0.000 0.000 Li
0.867 0.867 0.400 Sm
0.133 0.133 0.600 Sm
0.610 0.610 0.170 Sm
0.390 0.390 0.830 Sm
0.738 0.738 0.786 Tl
0.262 0.262 0.214 Tl



LiSm3Tl3 | Alexandria | PBE | optimized geometry; total DFT energy (no corrections) = -3.54 eV/atom; formation energy = -0.231 eV/atom; energy relative to the lowest polymorph listed for this composition = 73.5 meV per atom; space group = C2/m, No. 12
1.0
6.825 0.616 0.096
-2.489 6.384 0.096
-0.571 -0.922 8.839
Li Sm Tl
2 6 6
Direct
0.726 0.726 0.959 Li
0.274 0.274 0.041 Li
0.616 0.616 0.337 Sm
0.176 0.824 0.500 Sm
0.824 0.176 0.500 Sm
0.249 0.751 0.000 Sm
0.751 0.249 0.000 Sm
0.384 0.384 0.663 Sm
0.959 0.959 0.201 Tl
0.885 0.553 0.726 Tl
0.553 0.885 0.726 Tl
0.115 0.447 0.274 Tl
0.447 0.115 0.274 Tl
0.041 0.041 0.799 Tl



Li5Sm4Tl6 | Alexandria | PBE | optimized geometry; total DFT energy (no corrections) = -3.10 eV/atom; formation energy = -0.253 eV/atom; space group = Cmc2_1, No. 36
1.0
-2.288 0.028 -4.229
-0.692 -10.332 3.040
-12.930 2.930 7.014
Li Sm Tl
10 8 12
Direct
0.481 0.963 0.647 Li
0.519 0.037 0.147 Li
0.189 0.379 0.635 Li
0.811 0.621 0.135 Li
0.658 0.316 0.446 Li
0.342 0.684 0.946 Li
0.339 0.679 0.625 Li
0.661 0.321 0.125 Li
0.326 0.651 0.307 Li
0.674 0.349 0.807 Li
0.945 0.889 0.275 Sm
0.055 0.111 0.775 Sm
0.146 0.291 0.281 Sm
0.854 0.709 0.781 Sm
0.819 0.639 0.478 Sm
0.181 0.361 0.978 Sm
0.058 0.116 0.491 Sm
0.942 0.884 0.991 Sm
0.750 0.500 0.292 Tl
0.426 0.852 0.446 Tl
0.776 0.553 0.961 Tl
0.224 0.447 0.461 Tl
0.450 0.899 0.834 Tl
0.550 0.101 0.334 Tl
0.388 0.776 0.130 Tl
0.612 0.224 0.630 Tl
0.066 0.131 0.107 Tl
0.934 0.869 0.607 Tl
0.574 0.148 0.946 Tl
0.250 0.500 0.792 Tl



LiSm3Tl4 | Alexandria | PBE | optimized geometry; total DFT energy (no corrections) = -3.53 eV/atom; formation energy = -0.339 eV/atom; space group = P4/mmm, No. 123
1.0
-2.238 2.213 -1.841
-2.265 0.086 2.857
7.841 12.778 5.830
Tl Sm Li
4 3 1
Direct
0.000 0.000 0.900 Tl
0.000 0.000 0.100 Tl
0.000 0.000 0.366 Tl
0.000 0.000 0.634 Tl
0.500 0.500 0.232 Sm
0.500 0.500 0.500 Sm
0.500 0.500 0.768 Sm
0.500 0.500 0.000 Li



LiSm6Tl | Alexandria | PBE | optimized geometry; total DFT energy (no corrections) = -4.16 eV/atom; formation energy = -0.084 eV/atom; space group = I4/mmm, No. 139
1.0
-2.558 2.558 9.413
2.558 -2.558 9.413
2.558 2.558 -9.413
Li Sm Tl
1 6 1
Direct
0.000 0.000 0.000 Li
0.248 0.248 0.000 Sm
0.886 0.386 0.500 Sm
0.386 0.886 0.500 Sm
0.114 0.614 0.500 Sm
0.752 0.752 0.000 Sm
0.614 0.114 0.500 Sm
0.500 0.500 0.000 Tl



Li3Sm2Tl4 | Alexandria | PBE | optimized geometry; total DFT energy (no corrections) = -3.02 eV/atom; formation energy = -0.278 eV/atom; energy relative to the lowest polymorph listed for this composition = 0.0 meV per atom; space group = C2/m, No. 12
1.0
-0.186 -4.205 2.722
2.412 -4.315 -1.885
8.909 1.568 3.031
Li Sm Tl
3 2 4
Direct
0.384 0.233 0.412 Li
0.000 0.000 0.000 Li
0.616 0.767 0.588 Li
0.289 0.421 0.759 Sm
0.711 0.579 0.241 Sm
0.641 0.718 0.896 Tl
0.076 0.848 0.377 Tl
0.924 0.152 0.623 Tl
0.359 0.282 0.104 Tl



no.,Fermi-level density of states (states/eV/cell)
1,8.8
2,6.2
3,8.9
4,1.7
5,7.4
6,10.7
7,6.3
8,11.6
9,19.7
10,6.1
11,9.0
12,3.5